# 1
Computed, not measured: a geometry-optimized NaGaBiS2 structure at the PBEsol level of DFT.

Energy relative to the elements, uncorrected ... 201.9 meV per atom

Lattice parameters (Å, degrees): 4.781 4.781 5.050 90.00 90.00 90.00
Fractional positions:
Na  0.000  0.000  0.000
Ga  0.000  0.000  0.500
Bi  0.500  0.500  0.000
S  0.000  0.500  0.500
S  0.500  0.000  0.500

# 2
Computed, not measured: a geometry-optimized Ga2Ni2Bi structure at the PBEsol level of DFT.

ΔH_f (0 K) ... -0.053 eV/atom

Lattice parameters (Å, degrees): 5.709 5.709 5.709 138.05 138.05 60.82
Fractional positions:
Ga  0.130  0.130  0.000
Ga  0.870  0.870  0.000
Ni  0.250  0.750  0.500
Ni  0.750  0.250  0.500
Bi  0.500  0.500  0.000

# 3
Computed, not measured: a geometry-optimized GaBi12O20 structure at the PBEsol level of DFT.

Energy relative to the elements, uncorrected ... -1250.5 meV per atom

Lattice parameters (Å, degrees): 8.684 8.684 8.684 109.47 109.47 109.47
Fractional positions:
Ga  0.000  0.000  0.000
Bi  0.145  0.835  0.326
Bi  0.165  0.309  0.491
Bi  0.182  0.691  0.855
Bi  0.309  0.491  0.165
Bi  0.326  0.145  0.835
Bi  0.491  0.165  0.309
Bi  0.509  0.818  0.674
Bi  0.674  0.509  0.818
Bi  0.691  0.855  0.182
Bi  0.818  0.674  0.509
Bi  0.835  0.326  0.145
Bi  0.855  0.182  0.691
O  0.000  0.000  0.384
O  0.000  0.000  0.785
O  0.000  0.384  0.000
O  0.000  0.785  0.000
O  0.126  0.356  0.745
O  0.215  0.215  0.215
O  0.231  0.874  0.619
O  0.255  0.611  0.381
O  0.356  0.745  0.126
O  0.381  0.255  0.611
O  0.384  0.000  0.000
O  0.389  0.644  0.769
O  0.611  0.381  0.255
O  0.616  0.616  0.616
O  0.619  0.231  0.874
O  0.644  0.769  0.389
O  0.745  0.126  0.356
O  0.769  0.389  0.644
O  0.785  0.000  0.000
O  0.874  0.619  0.231

# 4
Computed, not measured: a geometry-optimized GaBiPO2 structure at the PBEsol level of DFT.

Energy relative to the elements, uncorrected ... -45.4 meV per atom

Lattice parameters (Å, degrees): 4.118 4.118 5.419 90.00 90.00 90.00
Fractional positions:
Ga  0.000  0.000  0.000
Bi  0.500  0.500  0.500
P  0.500  0.500  0.000
O  0.000  0.500  0.500
O  0.500  0.000  0.500

# 5
Computed, not measured: a geometry-optimized GaBi3Sb2O11 structure at the PBEsol level of DFT.

Energy relative to the elements, uncorrected ... -1488.9 meV per atom

Lattice parameters (Å, degrees): 9.446 9.509 13.398 90.00 134.72 90.00
Fractional positions:
Ga  0.000  0.246  0.000
Ga  0.000  0.754  0.500
Ga  0.489  0.251  0.330
Ga  0.489  0.749  0.830
Bi  0.159  0.011  0.242
Bi  0.159  0.989  0.742
Bi  0.162  0.404  0.618
Bi  0.162  0.596  0.118
Bi  0.185  0.364  0.368
Bi  0.185  0.636  0.868
Bi  0.402  0.107  0.622
Bi  0.402  0.893  0.122
Bi  0.671  0.493  0.757
Bi  0.671  0.507  0.257
Bi  0.881  0.132  0.374
Bi  0.881  0.868  0.874
Sb  0.310  0.253  0.000
Sb  0.310  0.747  0.500
Sb  0.654  0.090  0.992
Sb  0.654  0.409  0.992
Sb  0.654  0.591  0.492
Sb  0.654  0.910  0.492
Sb  0.805  0.249  0.648
Sb  0.805  0.751  0.148
O  0.103  0.249  0.786
O  0.103  0.751  0.286
O  0.149  0.143  0.392
O  0.149  0.857  0.892
O  0.154  0.154  0.601
O  0.154  0.846  0.101
O  0.158  0.391  0.006
O  0.158  0.609  0.506
O  0.169  0.107  0.007
O  0.169  0.893  0.507
O  0.201  0.241  0.210
O  0.201  0.759  0.710
O  0.367  0.348  0.599
O  0.367  0.652  0.099
O  0.437  0.090  0.990
O  0.437  0.910  0.490
O  0.443  0.415  0.995
O  0.443  0.585  0.495
O  0.481  0.036  0.328
O  0.481  0.964  0.828
O  0.492  0.464  0.328
O  0.492  0.536  0.828
O  0.507  0.252  0.490
O  0.507  0.748  0.990
O  0.517  0.249  0.854
O  0.517  0.751  0.354
O  0.537  0.256  0.210
O  0.537  0.744  0.710
O  0.786  0.257  0.786
O  0.786  0.743  0.286
O  0.788  0.246  0.490
O  0.788  0.754  0.990
O  0.792  0.250  0.131
O  0.792  0.750  0.631
O  0.813  0.037  0.658
O  0.813  0.963  0.158
O  0.814  0.462  0.656
O  0.814  0.538  0.156
O  0.861  0.413  0.988
O  0.861  0.587  0.488
O  0.872  0.081  0.000
O  0.872  0.919  0.500
O  0.954  0.357  0.391
O  0.954  0.643  0.891

# 6
Computed, not measured: a geometry-optimized GaBiSe2O structure at the PBEsol level of DFT.

Energy relative to the elements, uncorrected ... 998.4 meV per atom

Lattice parameters (Å, degrees): 5.393 5.393 5.836 90.00 90.00 90.00
Fractional positions:
Ga  0.000  0.000  0.000
Bi  0.000  0.000  0.500
Se  0.000  0.500  0.500
Se  0.500  0.000  0.500
O  0.500  0.500  0.000

# 7
Computed, not measured: a geometry-optimized GaBi3Os structure at the PBEsol level of DFT.

ΔH_f (0 K) ... 0.793 eV/atom

Lattice parameters (Å, degrees): 5.284 5.284 5.284 90.00 90.00 90.00
Fractional positions:
Ga  0.000  0.000  0.000
Bi  0.000  0.500  0.500
Bi  0.500  0.000  0.500
Bi  0.500  0.500  0.000
Os  0.500  0.500  0.500

# 8
Computed, not measured: a geometry-optimized GaBiPOs2 structure at the PBEsol level of DFT.

ΔH_f (0 K) ... 2.722 eV/atom

Lattice parameters (Å, degrees): 4.956 4.956 5.091 90.00 90.00 90.00
Fractional positions:
Ga  0.000  0.000  0.000
Bi  0.000  0.000  0.500
P  0.500  0.500  0.000
Os  0.000  0.500  0.500
Os  0.500  0.000  0.500

Number 1: mass density 5.26 g/cm³. Number 2: mass density 9.41 g/cm³. Number 3: mass density 9.54 g/cm³. Number 4: mass density 6.17 g/cm³. Number 5: mass density 8.67 g/cm³. Number 6: mass density 4.43 g/cm³. Number 7: mass density 9.98 g/cm³. Number 8: mass density 9.16 g/cm³.